Record 1
LiPrCuAg | GGA-PBE | optimized geometry

Lattice parameters (Å, degrees): 4.9651 4.9651 4.9651 60.00 60.00 60.00
Closest atoms and distances in Å follow each position.
Fractional coordinates of all 4 atoms:
Pr 0.5000 0.5000 0.5000  4 Ag 3.04, 4 Cu 3.04
Cu 0.2500 0.2500 0.2500  4 Li 3.04, 4 Pr 3.04
Ag 0.7500 0.7500 0.7500  4 Pr 3.04, 4 Li 3.04
Li 0.0000 0.0000 0.0000  4 Cu 3.04, 4 Ag 3.04

Total energy in eV per cell: -13.99



Record 2
LiCuAgPt | GGA-PBE | optimized geometry

Lattice parameters (Å, degrees): 4.3216 4.3216 4.3216 60.00 60.00 60.00
Closest atoms and distances in Å follow each position.
Fractional coordinates of all 4 atoms:
Cu 0.2500 0.2500 0.2500  4 Ag 2.65, 4 Pt 2.65
Ag 0.0000 0.0000 0.0000  4 Li 2.65, 4 Cu 2.65
Pt 0.5000 0.5000 0.5000  4 Cu 2.65, 4 Li 2.65
Li 0.7500 0.7500 0.7500  4 Pt 2.65, 4 Ag 2.65

Total energy in eV per cell: -15.83



Record 3
LiCuAgSb | GGA-PBE | optimized geometry

Lattice parameters (Å, degrees): 4.5883 4.5883 4.5883 60.00 60.00 60.00
Closest atoms and distances in Å follow each position.
Fractional coordinates of all 4 atoms:
Sb 0.0000 0.0000 0.0000  4 Li 2.81, 4 Cu 2.81
Cu 0.2500 0.2500 0.2500  4 Sb 2.81, 4 Ag 2.81
Ag 0.5000 0.5000 0.5000  4 Cu 2.81, 4 Li 2.81
Li 0.7500 0.7500 0.7500  4 Sb 2.81, 4 Ag 2.81

Formation energy from raw total energies in eV per atom: -0.15



Record 4
LiCuSiAg | GGA-PBE | optimized geometry

Lattice parameters (Å, degrees): 4.2793 4.2793 4.2793 60.00 60.00 60.00
Closest atoms and distances in Å follow each position.
Fractional coordinates of all 4 atoms:
Si 0.7500 0.7500 0.7500  4 Cu 2.62, 4 Ag 2.62
Cu 0.5000 0.5000 0.5000  4 Si 2.62, 4 Li 2.62
Ag 0.0000 0.0000 0.0000  4 Li 2.62, 4 Si 2.62
Li 0.2500 0.2500 0.2500  4 Ag 2.62, 4 Cu 2.62

Formation energy from raw total energies in eV per atom: -0.12



Record 5
Li2Cu5Si2Ag | GGA-PBE | optimized geometry

Lattice parameters (Å, degrees): 3.8341 8.4911 8.4911 90.00 90.00 90.00
Closest atoms and distances in Å follow each position.
Fractional coordinates of all 20 atoms:
Li 0.0000 0.6809 0.1809  3 Si 2.46-2.57
Li 0.0000 0.3191 0.8191  3 Si 2.46-2.57
Li 0.0000 0.1809 0.3191  3 Si 2.46-2.57
Li 0.0000 0.8191 0.6809  3 Si 2.46-2.57
Cu 0.5000 0.2104 0.0659  2 Si 2.46, 4 Cu 2.52-2.69, 2 Ag 2.68
Cu 0.5000 0.7896 0.9341  2 Si 2.46, 4 Cu 2.52-2.69, 2 Ag 2.68
Cu 0.5000 0.0659 0.7896  2 Si 2.46, 4 Cu 2.52-2.69, 2 Ag 2.68
Cu 0.5000 0.7104 0.4341  2 Si 2.46, 4 Cu 2.52-2.69, 2 Ag 2.68
Cu 0.5000 0.9341 0.2104  2 Si 2.46, 4 Cu 2.52-2.69, 2 Ag 2.68
Cu 0.5000 0.2896 0.5659  2 Si 2.46, 4 Cu 2.52-2.69, 2 Ag 2.68
Cu 0.5000 0.5659 0.7104  2 Si 2.46, 4 Cu 2.52-2.69, 2 Ag 2.68
Cu 0.5000 0.4341 0.2896  2 Si 2.46, 4 Cu 2.52-2.69, 2 Ag 2.68
Cu 0.5000 0.5000 0.0000  4 Si 2.36, 4 Cu 2.52
Cu 0.5000 0.0000 0.5000  4 Si 2.36, 4 Cu 2.52
Si 0.0000 0.1140 0.6140  6 Cu 2.36-2.46, 3 Li 2.46-2.57
Si 0.0000 0.8860 0.3860  6 Cu 2.36-2.46, 3 Li 2.46-2.57
Si 0.0000 0.6140 0.8860  6 Cu 2.36-2.46, 3 Li 2.46-2.57
Si 0.0000 0.3860 0.1140  6 Cu 2.36-2.46, 3 Li 2.46-2.57
Ag 0.0000 0.0000 0.0000  8 Cu 2.68
Ag 0.0000 0.5000 0.5000  8 Cu 2.68

Formation energy from raw total energies in eV per atom: -0.06



Record 6
Li3Sm2Cu12Ag | GGA-PBE | optimized geometry

Lattice parameters (Å, degrees): 6.5726 6.5726 6.5726 84.13 84.13 84.13
Closest atoms and distances in Å follow each position.
Fractional coordinates of all 18 atoms:
Li 0.5000 0.0000 0.0000  10 Cu 2.63-2.93, 2 Sm 2.94
Li 0.0000 0.5000 0.0000  10 Cu 2.63-2.93, 2 Sm 2.94
Li 0.0000 0.0000 0.5000  10 Cu 2.63-2.93, 2 Sm 2.94
Sm 0.7154 0.7154 0.7154  9 Cu 2.86-2.97, 3 Li 2.94
Sm 0.2846 0.2846 0.2846  9 Cu 2.86-2.97, 3 Li 2.94
Cu 0.4240 0.4240 0.8533  4 Cu 2.41-2.59
Cu 0.7951 0.7951 0.2782  5 Cu 2.41-2.69, 1 Ag 2.52, 1 Li 2.63
Cu 0.2782 0.7951 0.7951  5 Cu 2.41-2.69, 1 Ag 2.52, 1 Li 2.63
Cu 0.8533 0.4240 0.4240  4 Cu 2.41-2.59
Cu 0.7951 0.2782 0.7951  5 Cu 2.41-2.69, 1 Ag 2.52, 1 Li 2.63
Cu 0.4240 0.8533 0.4240  4 Cu 2.41-2.59
Cu 0.5760 0.5760 0.1467  4 Cu 2.41-2.59
Cu 0.2049 0.2049 0.7218  5 Cu 2.41-2.69, 1 Ag 2.52, 1 Li 2.63
Cu 0.7218 0.2049 0.2049  5 Cu 2.41-2.69, 1 Ag 2.52, 1 Li 2.63
Cu 0.1467 0.5760 0.5760  4 Cu 2.41-2.59
Cu 0.2049 0.7218 0.2049  5 Cu 2.41-2.69, 1 Ag 2.52, 1 Li 2.63
Cu 0.5760 0.1467 0.5760  4 Cu 2.41-2.59
Ag 0.0000 0.0000 0.0000  6 Cu 2.52

Total energy in eV per cell: -65.92



Record 7
LiSmCuAg | GGA-PBE | optimized geometry

Lattice parameters (Å, degrees): 4.8822 4.8822 4.8822 60.00 60.00 60.00
Closest atoms and distances in Å follow each position.
Fractional coordinates of all 4 atoms:
Cu 0.2500 0.2500 0.2500  4 Li 2.99, 4 Sm 2.99
Ag 0.7500 0.7500 0.7500  4 Li 2.99, 4 Sm 2.99
Sm 0.0000 0.0000 0.0000  4 Ag 2.99, 4 Cu 2.99
Li 0.5000 0.5000 0.5000  4 Cu 2.99, 4 Ag 2.99

Total energy in eV per cell: -14.02



Record 8
SrLi2CuAg | GGA-PBE | optimized geometry

Lattice parameters (Å, degrees): 4.8052 4.8052 5.1043 90.00 90.00 90.00
Closest atoms and distances in Å follow each position.
Fractional coordinates of all 5 atoms:
Sr 0.5000 0.5000 0.5000  4 Ag 3.40, 8 Li 3.51
Cu 0.0000 0.0000 0.0000  4 Li 2.40, 2 Ag 2.55
Ag 0.0000 0.0000 0.5000  2 Cu 2.55
Li 0.0000 0.5000 0.0000  2 Cu 2.40
Li 0.5000 0.0000 0.0000  2 Cu 2.40

Distance to the lowest polymorph of the same formula in eV/f.u.: 0.00



Record 9
SrLi2CuAg | GGA-PBE | optimized geometry

Lattice parameters (Å, degrees): 4.8794 4.8794 5.0885 90.00 90.00 90.00
Closest atoms and distances in Å follow each position.
Fractional coordinates of all 5 atoms:
Sr 0.5000 0.5000 0.5000  4 Cu 3.45, 8 Li 3.52
Cu 0.0000 0.0000 0.5000  2 Ag 2.54
Ag 0.0000 0.0000 0.0000  4 Li 2.44, 2 Cu 2.54
Li 0.0000 0.5000 0.0000  2 Ag 2.44
Li 0.5000 0.0000 0.0000  2 Ag 2.44

Distance to the lowest polymorph of the same formula in eV/f.u.: 0.23



Record 10
Sr2LiCuAg | GGA-PBE | optimized geometry

Lattice parameters (Å, degrees): 5.8500 5.8500 4.6772 90.00 90.00 90.00
Closest atoms and distances in Å follow each position.
Fractional coordinates of all 5 atoms:
Sr 0.0000 0.5000 0.0000  2 Cu 2.92
Sr 0.5000 0.0000 0.0000  2 Cu 2.92
Cu 0.0000 0.0000 0.0000  2 Li 2.34
Ag 0.5000 0.5000 0.5000  8 Sr 3.74, 4 Li 4.14
Li 0.0000 0.0000 0.5000  2 Cu 2.34

Total energy in eV per cell: -11.94



Record 11
Sr2Li3CuAg12 | GGA-PBE | optimized geometry

Lattice parameters (Å, degrees): 10.4123 10.4123 10.4123 38.82 38.82 38.82
Closest atoms and distances in Å follow each position.
Fractional coordinates of all 18 atoms:
Sr 0.6482 0.6482 0.6482  12 Ag 3.38-3.76
Sr 0.3518 0.3518 0.3518  12 Ag 3.38-3.76
Li 0.5000 0.0000 0.0000  6 Ag 2.57-2.85
Li 0.0000 0.5000 0.0000  6 Ag 2.57-2.85
Li 0.0000 0.0000 0.5000  6 Ag 2.57-2.85
Cu 0.0000 0.0000 0.0000  6 Ag 2.61
Ag 0.4110 0.4110 0.8141  2 Li 2.57, 4 Ag 2.79
Ag 0.9269 0.9269 0.3518  1 Cu 2.61, 2 Ag 2.79, 1 Li 2.85
Ag 0.3518 0.9269 0.9269  1 Cu 2.61, 2 Ag 2.79, 1 Li 2.85
Ag 0.8141 0.4110 0.4110  2 Li 2.57, 4 Ag 2.79
Ag 0.9269 0.3518 0.9269  1 Cu 2.61, 2 Ag 2.79, 1 Li 2.85
Ag 0.4110 0.8141 0.4110  2 Li 2.57, 4 Ag 2.79
Ag 0.5890 0.5890 0.1859  2 Li 2.57, 4 Ag 2.79
Ag 0.0731 0.0731 0.6482  1 Cu 2.61, 2 Ag 2.79, 1 Li 2.85
Ag 0.6482 0.0731 0.0731  1 Cu 2.61, 2 Ag 2.79, 1 Li 2.85
Ag 0.1859 0.5890 0.5890  2 Li 2.57, 4 Ag 2.79
Ag 0.0731 0.6482 0.0731  1 Cu 2.61, 2 Ag 2.79, 1 Li 2.85
Ag 0.5890 0.1859 0.5890  2 Li 2.57, 4 Ag 2.79

Total energy in eV per cell: -46.95



Record 12
SrLiCuAg2 | GGA-PBE | optimized geometry

Lattice parameters (Å, degrees): 5.0449 5.0449 4.6125 90.00 90.00 90.00
Closest atoms and distances in Å follow each position.
Fractional coordinates of all 5 atoms:
Sr 0.5000 0.5000 0.5000  8 Ag 3.42, 4 Li 3.57
Cu 0.0000 0.0000 0.0000  2 Li 2.31, 4 Ag 2.52
Ag 0.0000 0.5000 0.0000  2 Cu 2.52
Ag 0.5000 0.0000 0.0000  2 Cu 2.52
Li 0.0000 0.0000 0.5000  2 Cu 2.31

Total energy in eV per cell: -13.49



Record 13
LiTbCuAg | GGA-PBE | optimized geometry

Lattice parameters (Å, degrees): 4.8132 4.8132 4.8132 60.00 60.00 60.00
Closest atoms and distances in Å follow each position.
Fractional coordinates of all 4 atoms:
Tb 0.0000 0.0000 0.0000  4 Cu 2.95, 4 Ag 2.95
Cu 0.2500 0.2500 0.2500  4 Tb 2.95, 4 Li 2.95
Ag 0.7500 0.7500 0.7500  4 Tb 2.95, 4 Li 2.95
Li 0.5000 0.5000 0.5000  4 Cu 2.95, 4 Ag 2.95

Total energy in eV per cell: -14.01